6
Lattice="3.5904 0.0000 0.0000 0.0000 3.5904 0.0000 0.0000 0.0000 10.8770" Properties=species:S:1:pos:R:3 comment="PmPr2Cu3, optimized geometry, DFT PBE" e_form_ev_per_fu=-0.814 de_polymorph_kcal_per_mol_atoms=0.00 final_energy_ev_per_cell=-27.41 n_ef_per_ev_fu=4.9 pbc="T T T"
Pm 0.0000 0.0000 0.0000
Pr 0.0000 0.0000 3.6071
Pr 0.0000 0.0000 7.2698
Cu 1.7952 1.7952 1.7405
Cu 1.7952 1.7952 5.4385
Cu 1.7952 1.7952 9.1365